9
Lattice="-3.3508 -2.7302 -4.5534 -1.0557 -0.9585 6.1141 -2.7941 7.8473 -0.7022" Properties=species:S:1:pos:R:3 comment="GGA-PBE Ba2Li3Cd4, optimized geometry" e_tot_ev_per_atom=-1.679 vol_a3_per_cell=257.1 space_group=Fmmm pbc="T T T"
Ba -3.6943 -0.0532 0.8037
Ba -3.5063 4.2119 0.0548
Li -1.6754 -1.3651 -2.2767
Li 0.0000 0.0000 0.0000
Li -0.5278 -0.4792 3.0570
Cd -2.7101 4.6985 3.4530
Cd -4.1728 3.5694 -3.3453
Cd -4.4905 -0.5398 -2.5944
Cd -3.0279 0.5893 4.2038